The following is a PBE calculation of a geometry-optimized ScBeP structure, from Alexandria via LeMat-Bulk.

CIF file:
```
data_ScBeP
_chemical_formula_sum 'Sc4 Be4 P4'
_cell_length_a 5.960
_cell_length_b 5.960
_cell_length_c 5.960
_cell_angle_alpha 90.00
_cell_angle_beta 90.00
_cell_angle_gamma 90.00
_symmetry_space_group_name_H-M 'F -4 3 m'
_symmetry_Int_Tables_number 216
_symmetry_space_group_name_Hall 'F -4 2 3'
loop_
_atom_site_label
_atom_site_fract_x
_atom_site_fract_y
_atom_site_fract_z
_atom_site_occupancy
Sc1 0.000 0.000 0.000 1
Be1 0.250 0.250 0.750 1
P1 0.250 0.250 0.250 1
```

Calculated values
Energy of formation from the pure elements, eV per atom: -0.011

The following is a PBE calculation of a geometry-optimized TlReSnC2 structure, from Alexandria via LeMat-Bulk.

CIF file:
```
data_TlReSnC2
_chemical_formula_sum 'Tl1 Re1 Sn1 C2'
_cell_length_a 4.099
_cell_length_b 4.099
_cell_length_c 5.559
_cell_angle_alpha 90.00
_cell_angle_beta 90.00
_cell_angle_gamma 90.00
_symmetry_space_group_name_H-M 'P 4/m m m'
_symmetry_Int_Tables_number 123
_symmetry_space_group_name_Hall '-P 4 2'
loop_
_atom_site_label
_atom_site_fract_x
_atom_site_fract_y
_atom_site_fract_z
_atom_site_occupancy
Tl1 0.000 0.000 0.000 1
Re1 0.500 0.500 0.500 1
Sn1 0.500 0.500 0.000 1
C1 0.000 0.500 0.500 1
```

Calculated values
Energy of formation from the pure elements, eV per atom: 1.199

The following is a PBE calculation of a geometry-optimized Ta2CuOs structure, from Alexandria via LeMat-Bulk.

CIF file:
```
data_Ta2CuOs
_chemical_formula_sum 'Ta8 Cu4 Os4'
_cell_length_a 7.128
_cell_length_b 7.128
_cell_length_c 5.469
_cell_angle_alpha 90.00
_cell_angle_beta 90.00
_cell_angle_gamma 90.00
_symmetry_space_group_name_H-M 'I -4 2 d'
_symmetry_Int_Tables_number 122
_symmetry_space_group_name_Hall 'I -4 2bw'
loop_
_atom_site_label
_atom_site_fract_x
_atom_site_fract_y
_atom_site_fract_z
_atom_site_occupancy
Ta1 0.234 0.250 0.125 1
Cu1 0.000 0.000 0.500 1
Os1 0.000 0.000 0.000 1
```

Calculated values
Energy of formation from the pure elements, eV per atom: 0.518

The following is a PBE calculation of a geometry-optimized PmNdU2As4 structure, from Alexandria via LeMat-Bulk.

CIF file:
```
data_PmNdU2As4
_chemical_formula_sum 'Pm1 Nd1 U2 As4'
_cell_length_a 7.153
_cell_length_b 4.129
_cell_length_c 7.327
_cell_angle_alpha 90.00
_cell_angle_beta 108.99
_cell_angle_gamma 90.00
_symmetry_space_group_name_H-M 'P 1 2/m 1'
_symmetry_Int_Tables_number 10
loop_
_symmetry_equiv_pos_as_xyz
'x,y,z'
'-x,-y,-z'
'-x,y,-z'
'x,-y,z'
loop_
_atom_site_label
_atom_site_fract_x
_atom_site_fract_y
_atom_site_fract_z
_atom_site_occupancy
Pm1 0.000 0.000 0.000 1
Nd1 0.500 0.500 0.000 1
U1 0.000 0.500 0.500 1
U2 0.500 0.000 0.500 1
As1 0.245 0.000 0.738 1
As2 0.253 0.500 0.261 1
```

Calculated values
Energy of formation from the pure elements, eV per atom: -1.127

The following is a PBE calculation of a geometry-optimized CrFeSbP2 structure, from Alexandria via LeMat-Bulk.

CIF file:
```
data_CrFeSbP2
_chemical_formula_sum 'Cr1 Fe1 Sb1 P2'
_cell_length_a 4.352
_cell_length_b 4.352
_cell_length_c 4.810
_cell_angle_alpha 90.00
_cell_angle_beta 90.00
_cell_angle_gamma 90.00
_symmetry_space_group_name_H-M 'P 4/m m m'
_symmetry_Int_Tables_number 123
_symmetry_space_group_name_Hall '-P 4 2'
loop_
_atom_site_label
_atom_site_fract_x
_atom_site_fract_y
_atom_site_fract_z
_atom_site_occupancy
Cr1 0.000 0.000 0.000 1
Fe1 0.000 0.000 0.500 1
Sb1 0.500 0.500 0.500 1
P1 0.000 0.500 0.000 1
```

Calculated values
Formation energy from raw total energies, eV/atom: 0.5839

The following is a PBE calculation of a geometry-optimized Rb2GaAgSn6 structure, from Alexandria via LeMat-Bulk.

CIF file:
```
data_Rb2GaAgSn6
_chemical_formula_sum 'Rb12 Ga6 Ag6 Sn36'
_cell_length_a 7.8084
_cell_length_b 7.8084
_cell_length_c 39.8766
_cell_angle_alpha 90.00
_cell_angle_beta 90.00
_cell_angle_gamma 120.00
_symmetry_space_group_name_H-M 'R -3 m'
_symmetry_Int_Tables_number 166
_symmetry_space_group_name_Hall '-R 3 2"'
loop_
_atom_site_label
_atom_site_fract_x
_atom_site_fract_y
_atom_site_fract_z
_atom_site_occupancy
Rb1 0.0000 0.0000 0.1494 1
Rb2 0.0000 0.0000 0.2939 1
Ga1 0.0000 0.0000 0.3809 1
Ag1 0.0000 0.0000 0.0000 1
Ag2 0.0000 0.0000 0.5000 1
Sn1 0.0536 0.5268 0.1112 1
Sn2 0.0694 0.5347 0.7287 1
```

Calculated values
Energy of formation from the pure elements, eV per atom: -0.047

The following is a PBE calculation of a geometry-optimized SrZn3Cu structure, from Alexandria via LeMat-Bulk.

CIF file:
```
data_SrZn3Cu
_chemical_formula_sum 'Sr1 Zn3 Cu1'
_cell_length_a 4.752
_cell_length_b 4.752
_cell_length_c 4.752
_cell_angle_alpha 90.00
_cell_angle_beta 90.00
_cell_angle_gamma 90.00
_symmetry_space_group_name_H-M 'P m -3 m'
_symmetry_Int_Tables_number 221
_symmetry_space_group_name_Hall '-P 4 2 3'
loop_
_atom_site_label
_atom_site_fract_x
_atom_site_fract_y
_atom_site_fract_z
_atom_site_occupancy
Sr1 0.000 0.000 0.000 1
Zn1 0.000 0.500 0.500 1
Cu1 0.500 0.500 0.500 1
```

Calculated values
Energy of formation from the pure elements, eV per atom: -0.082

The following is a PBE calculation of a geometry-optimized La8P3Se4Cl structure, from Alexandria via LeMat-Bulk.

CIF file:
```
data_La8P3Se4Cl
_chemical_formula_sum 'La24 P9 Se12 Cl3'
_cell_length_a 8.5460
_cell_length_b 8.5460
_cell_length_c 21.1100
_cell_angle_alpha 90.00
_cell_angle_beta 90.00
_cell_angle_gamma 120.00
_symmetry_space_group_name_H-M 'R -3 m'
_symmetry_Int_Tables_number 166
_symmetry_space_group_name_Hall '-R 3 2"'
loop_
_atom_site_label
_atom_site_fract_x
_atom_site_fract_y
_atom_site_fract_z
_atom_site_occupancy
La1 0.0000 0.0000 0.2440 1
La2 0.0127 0.5063 0.7541 1
P1 0.0000 0.5000 0.5000 1
Se1 0.0000 0.0000 0.0000 1
Se2 0.0000 0.5000 0.0000 1
Cl1 0.0000 0.0000 0.5000 1
```

Calculated values
Formation energy from raw total energies, eV/atom: -1.8581

The following is a PBE calculation of a geometry-optimized Ac2Mg5Cd5 structure, from Alexandria via LeMat-Bulk.

CIF file:
```
data_Ac2Mg5Cd5
_chemical_formula_sum 'Ac2 Mg5 Cd5'
_cell_length_a 4.849
_cell_length_b 6.122
_cell_length_c 10.552
_cell_angle_alpha 90.00
_cell_angle_beta 90.00
_cell_angle_gamma 90.00
_symmetry_space_group_name_H-M 'P m m m'
_symmetry_Int_Tables_number 47
loop_
_symmetry_equiv_pos_as_xyz
'x,y,z'
'-x,-y,-z'
'-x,-y,z'
'x,y,-z'
'x,-y,-z'
'-x,y,z'
'-x,y,-z'
'x,-y,z'
loop_
_atom_site_label
_atom_site_fract_x
_atom_site_fract_y
_atom_site_fract_z
_atom_site_occupancy
Ac1 0.000 0.000 0.000 1
Ac2 0.000 0.500 0.500 1
Mg1 0.500 0.000 0.500 1
Mg2 0.500 0.250 0.247 1
Cd1 0.000 0.000 0.332 1
Cd2 0.000 0.500 0.170 1
Cd3 0.500 0.500 0.000 1
```

Calculated values
Energy of formation from the pure elements, eV per atom: -0.220

The following is a PBE calculation of a geometry-optimized InSi3H12 structure, from Alexandria via LeMat-Bulk.

CIF file:
```
data_InSi3H12
_chemical_formula_sum 'In6 Si18 H72'
_cell_length_a 8.3080
_cell_length_b 8.3080
_cell_length_c 19.6260
_cell_angle_alpha 90.00
_cell_angle_beta 90.00
_cell_angle_gamma 120.00
_symmetry_space_group_name_H-M 'R 3 c'
_symmetry_Int_Tables_number 161
_symmetry_space_group_name_Hall 'R 3 -2"c'
loop_
_atom_site_label
_atom_site_fract_x
_atom_site_fract_y
_atom_site_fract_z
_atom_site_occupancy
In1 0.0000 0.0000 0.0000 1
Si1 0.1502 0.3637 0.3539 1
H1 0.0226 0.3420 0.8553 1
H2 0.1546 0.4646 0.0241 1
H3 0.1568 0.4631 0.2890 1
H4 0.1568 0.4796 0.4130 1
```

| no. | uncorrected energy (eV/atom) | size of the total moment (μB per cell) | theoretical density (g/cm3) |
| --- | --- | --- | --- |
| 1 | -5.17 | 0.00 | 2.67 |
| 2 | -6.25 | 0.00 | 9.48 |
| 3 | -9.24 | 0.00 | 14.72 |
| 4 | -7.46 | 4.87 | 8.64 |
| 5 | -6.02 | 2.22 | 5.31 |
| 6 | -3.23 | 0.00 | 5.02 |
| 7 | -2.00 | 0.00 | 5.38 |
| 8 | -6.32 | 0.00 | 5.80 |
| 9 | -1.95 | 0.00 | 6.03 |
| 10 | -3.58 | 5.29 | 1.79 |